LiAg2Te: relaxed, GGA-PBE.

- Crystal system: monoclinic
- Fermi-level density of states: 0.56 states/eV per cell
- Calculated density: 6.90 Mg/m³
- E: -2.829 eV per atom
- Space group: No. 8

a = 4.721 Å, b = 4.721 Å, c = 6.259 Å
α = 83.50°, β = 83.50°, γ = 37.48°
Atoms (fractional coordinates):
Ag  0.005  0.005  0.952
Ag  0.749  0.749  0.735
Li  0.499  0.499  0.525
Te  0.247  0.247  0.288